1.
Crystalline Ta3OsRh at its relaxed geometry, computed with PBE-GGA.

Geometry as extended XYZ:
```
5
Lattice="4.7014 0.0000 0.0000 0.0000 4.7014 0.0000 0.0000 0.0000 4.7014" Properties=species:S:1:pos:R:3 pbc="T T T"
Ta 0.0000 0.0000 2.3507
Ta 0.0000 2.3507 0.0000
Ta 2.3507 0.0000 0.0000
Os 2.3507 2.3507 2.3507
Rh 0.0000 0.0000 0.0000
```

Calculated values
Relative energy among the computed polymorphs: 0.208 eV/atom
SG: No. 221
Formation energy: 1.449 eV/atom

2.
Crystalline TaOs2Rh at its relaxed geometry, computed with PBE-GGA.

Geometry as extended XYZ:
```
8
Lattice="5.5426 0.0000 0.0000 0.0000 7.7391 0.0000 0.0000 0.0000 2.8317" Properties=species:S:1:pos:R:3 pbc="T T T"
Ta 0.0000 0.0000 0.0000
Ta 2.7713 3.8696 0.0000
Os 1.3857 1.9348 1.4158
Os 1.3857 5.8043 1.4158
Os 4.1570 1.9348 1.4158
Os 4.1570 5.8043 1.4158
Rh 0.0000 3.8696 0.0000
Rh 2.7713 0.0000 0.0000
```

Calculated values
Relative energy among the computed polymorphs: 0.198 eV/atom
SG: No. 65
Formation energy: -0.086 eV/atom

3.
Crystalline Ta2OsRh at its relaxed geometry, computed with PBE-GGA.

Geometry as extended XYZ:
```
4
Lattice="2.7732 0.0000 0.0000 0.0000 2.7732 0.0000 0.0000 0.0000 8.4818" Properties=species:S:1:pos:R:3 pbc="T T T"
Ta 0.0000 0.0000 0.0000
Ta 1.3866 1.3866 2.3337
Os 0.0000 0.0000 4.4998
Rh 1.3866 1.3866 6.3180
```

Calculated values
SG: No. 99
Formation energy: -0.027 eV/atom